# As2IrPt PBE-GGA relaxed
# Excess energy over the best structure of this formula in the dataset ... 370 meV/atom
# Space-group type ... No. 47
# DOS at the Fermi energy ... 2.60 states/eV/f.u.
# Formation enthalpy at 0 K ... 0.286 eV per atom
# Spin magnetization ... 0.0 μB/cell
data_As2IrPt
_chemical_formula_sum 'As2 Ir1 Pt1'
_cell_length_a 2.846
_cell_length_b 4.985
_cell_length_c 4.615
_cell_angle_alpha 90.00
_cell_angle_beta 90.00
_cell_angle_gamma 90.00
_symmetry_space_group_name_H-M 'P 1'
_symmetry_Int_Tables_number 1
loop_
_symmetry_equiv_pos_as_xyz
'x,y,z'
loop_
_atom_site_label
_atom_site_type_symbol
_atom_site_fract_x
_atom_site_fract_y
_atom_site_fract_z
As1 As 0.000 0.000 0.000
As2 As 0.500 0.500 0.000
Ir1 Ir 0.500 0.000 0.500
Pt1 Pt 0.000 0.500 0.500

***

# Mg4Ga5Tc PBE-GGA relaxed
# Space-group type ... No. 107
# DOS at the Fermi energy ... 3.37 states/eV/f.u.
# Formation enthalpy at 0 K ... -0.087 eV per atom
# Spin magnetization ... 0.0 μB/cell
data_Mg4Ga5Tc
_chemical_formula_sum 'Mg4 Ga5 Tc1'
_cell_length_a 4.820
_cell_length_b 6.926
_cell_length_c 6.926
_cell_angle_alpha 83.05
_cell_angle_beta 69.64
_cell_angle_gamma 69.64
_symmetry_space_group_name_H-M 'P 1'
_symmetry_Int_Tables_number 1
loop_
_symmetry_equiv_pos_as_xyz
'x,y,z'
loop_
_atom_site_label
_atom_site_type_symbol
_atom_site_fract_x
_atom_site_fract_y
_atom_site_fract_z
Mg1 Mg 0.435 0.293 0.707
Mg2 Mg 0.728 0.707 0.707
Mg3 Mg 0.142 0.293 0.293
Mg4 Mg 0.435 0.707 0.293
Ga1 Ga 0.804 0.370 0.000
Ga2 Ga 0.173 0.000 0.630
Ga3 Ga 0.804 0.000 0.370
Ga4 Ga 0.173 0.630 0.000
Ga5 Ga 0.655 0.000 0.000
Tc1 Tc 0.162 0.000 0.000

***

# SbP2Ir PBE-GGA relaxed
# Space-group type ... No. 160
# Formation energy from raw total energies ... 0.055 eV/atom
# DOS at the Fermi energy ... 1.50 states/eV/f.u.
# Spin magnetization ... 0.0 μB/cell
data_SbP2Ir
_chemical_formula_sum 'Sb1 P2 Ir1'
_cell_length_a 6.979
_cell_length_b 6.979
_cell_length_c 6.979
_cell_angle_alpha 29.85
_cell_angle_beta 29.85
_cell_angle_gamma 29.85
_symmetry_space_group_name_H-M 'P 1'
_symmetry_Int_Tables_number 1
loop_
_symmetry_equiv_pos_as_xyz
'x,y,z'
loop_
_atom_site_label
_atom_site_type_symbol
_atom_site_fract_x
_atom_site_fract_y
_atom_site_fract_z
Ir1 Ir 0.734 0.734 0.734
P1 P 0.013 0.013 0.013
P2 P 0.248 0.248 0.248
Sb1 Sb 0.504 0.504 0.504

***

# AlZnTc PBE-GGA relaxed
# Excess energy over the best structure of this formula in the dataset ... 511 meV/atom
# Space-group type ... No. 216
# DOS at the Fermi energy ... 1.22 states/eV/f.u.
# Formation enthalpy at 0 K ... 0.340 eV per atom
# Spin magnetization ... 0.0 μB/cell
data_AlZnTc
_chemical_formula_sum 'Al1 Zn1 Tc1'
_cell_length_a 4.117
_cell_length_b 4.117
_cell_length_c 4.117
_cell_angle_alpha 60.00
_cell_angle_beta 60.00
_cell_angle_gamma 60.00
_symmetry_space_group_name_H-M 'P 1'
_symmetry_Int_Tables_number 1
loop_
_symmetry_equiv_pos_as_xyz
'x,y,z'
loop_
_atom_site_label
_atom_site_type_symbol
_atom_site_fract_x
_atom_site_fract_y
_atom_site_fract_z
Zn1 Zn 0.500 0.500 0.500
Tc1 Tc 0.000 0.000 0.000
Al1 Al 0.750 0.750 0.750

***

Number 1: DFT total energy -5.76 eV per atom. Number 2: DFT total energy -3.28 eV per atom. Number 3: DFT total energy -5.90 eV per atom. Number 4: DFT total energy -4.79 eV per atom.